YSc2Si2 PBE optimized geometry; total magnetization = 0.0 μB/f.u.
1.0
-2.987 1.920 2.295
0.258 -3.065 2.901
2.813 2.496 5.467
Si Sc Y
2 2 1
Cartesian
-0.526 0.043 3.173 Si
0.610 1.308 7.489 Si
-0.769 1.922 5.180 Sc
0.853 -0.570 5.483 Sc
0.000 0.000 0.000 Y

YSc3Si PBE optimized geometry; total magnetization = 0.0 μB/f.u.
1.0
5.105 0.000 0.000
0.000 5.105 0.000
0.000 0.000 5.105
Sc Y Si
3 1 1
Cartesian
2.552 0.000 0.000 Sc
0.000 2.552 0.000 Sc
0.000 0.000 2.552 Sc
0.000 0.000 0.000 Y
2.552 2.552 2.552 Si

YScSi3 PBE optimized geometry; total magnetization = 0.0 μB/f.u.
1.0
4.884 0.000 0.000
0.000 4.884 0.000
0.000 0.000 4.884
Si Sc Y
3 1 1
Cartesian
0.000 2.442 0.000 Si
0.000 0.000 2.442 Si
2.442 0.000 0.000 Si
0.000 0.000 0.000 Sc
2.442 2.442 2.442 Y

YScSi2 PBE optimized geometry; total magnetization = 0.0 μB/f.u.
1.0
-3.174 -2.258 -2.049
2.744 -0.821 -3.346
1.215 -3.362 1.822
Y Si Sc
1 2 1
Cartesian
-0.979 -2.810 -0.114 Y
-0.215 -1.539 -2.697 Si
0.000 0.000 0.000 Si
1.980 -2.092 -0.762 Sc

YScSi2 PBE optimized geometry; total magnetization = 0.0 μB/f.u.
1.0
-1.216 2.480 3.665
-3.980 2.157 0.756
-3.166 -2.951 3.335
Si Y Sc
2 1 1
Cartesian
-3.033 -2.737 3.185 Si
-4.314 0.629 4.028 Si
-2.091 0.422 1.939 Y
-6.272 1.265 5.817 Sc

YScSi2 PBE optimized geometry; total magnetization = 0.0 μB/f.u.
1.0
-0.474 4.541 1.517
-3.206 1.070 3.423
1.502 1.235 4.400
Sc Y Si
1 1 2
Cartesian
-1.089 3.423 4.670 Sc
-0.545 1.711 2.335 Y
0.000 0.000 0.000 Si
-1.634 5.134 7.006 Si

no.,uncorrected energy (eV per atom),formation energy without anion corrections (eV/f.u.),ΔE to the lowest computed polymorph (kJ per mole of atoms)
1,-6.64,-3.24,0.0
2,-4.97,6.02,119.8
3,-5.55,1.30,0.0
4,-6.38,-1.89,32.9
5,-6.46,-2.21,25.2
6,-5.82,0.34,86.7